VASP calculation (PBE) on a relaxed structure of TmThZnIn.

Summary:
energy of formation from the pure elements	-0.274	eV per atom
crystal system	cubic
DOS(E_F)	6.9	states/eV per cell

a b c (Å): 7.4291 7.4291 7.4291
angles (deg): 90.00 90.00 90.00
Closest atoms and distances in Å follow each position.
Fractional positions:
Tm  0.0000  0.0000  0.0000  4 In 3.22, 4 Zn 3.22
Tm  0.0000  0.5000  0.5000  4 In 3.22, 4 Zn 3.22
Tm  0.5000  0.0000  0.5000  4 In 3.22, 4 Zn 3.22
Tm  0.5000  0.5000  0.0000  4 In 3.22, 4 Zn 3.22
Th  0.0000  0.0000  0.5000  4 Zn 3.22, 4 In 3.22
Th  0.0000  0.5000  0.0000  4 Zn 3.22, 4 In 3.22
Th  0.5000  0.0000  0.0000  4 Zn 3.22, 4 In 3.22
Th  0.5000  0.5000  0.5000  4 Zn 3.22, 4 In 3.22
Zn  0.2500  0.2500  0.2500  4 Tm 3.22, 4 Th 3.22
Zn  0.2500  0.7500  0.7500  4 Th 3.22, 4 Tm 3.22
Zn  0.7500  0.2500  0.7500  4 Th 3.22, 4 Tm 3.22
Zn  0.7500  0.7500  0.2500  4 Th 3.22, 4 Tm 3.22
In  0.2500  0.2500  0.7500  4 Th 3.22, 4 Tm 3.22
In  0.2500  0.7500  0.2500  4 Th 3.22, 4 Tm 3.22
In  0.7500  0.2500  0.2500  4 Th 3.22, 4 Tm 3.22
In  0.7500  0.7500  0.7500  4 Th 3.22, 4 Tm 3.22